# LiCrPO4, relaxed, DFT GGA+U
# Total magnetic moment (μB/f.u.): 4.0
# Symmetry: Pna2_1, No. 33
# Polymorph energy (0 for the lowest one) (meV per atom): 61.3
# N(E_F) (states/eV per atom): 0.00
data_LiCrPO4
_chemical_formula_sum 'Li8 Cr8 P8 O32'
_symmetry_space_group_name_H-M 'P 1'
_symmetry_Int_Tables_number 1
_symmetry_space_group_name_Hall 'P 1'
_cell_length_a 5.034
_cell_length_b 8.280
_cell_length_c 16.842
_cell_angle_alpha 90.00
_cell_angle_beta 90.00
_cell_angle_gamma 90.00
loop_
_atom_site_label
_atom_site_type_symbol
_atom_site_fract_x
_atom_site_fract_y
_atom_site_fract_z
O1 O 0.234 0.174 0.657
O2 O 0.391 0.772 0.656
O3 O 0.899 0.738 0.734
O4 O 0.880 0.397 0.636
O5 O 0.248 0.403 0.147
O6 O 0.781 0.609 0.027
O7 O 0.243 0.238 0.454
O8 O 0.399 0.262 0.266
O9 O 0.734 0.326 0.157
O10 O 0.734 0.826 0.343
O11 O 0.248 0.903 0.353
O12 O 0.824 0.914 0.038
O13 O 0.380 0.103 0.136
O14 O 0.281 0.891 0.527
O15 O 0.324 0.086 0.962
O16 O 0.234 0.674 0.843
O17 O 0.781 0.109 0.473
O18 O 0.380 0.603 0.364
O19 O 0.748 0.097 0.647
O20 O 0.891 0.728 0.156
O21 O 0.824 0.414 0.462
O22 O 0.899 0.238 0.766
O23 O 0.743 0.762 0.546
O24 O 0.391 0.272 0.844
O25 O 0.281 0.391 0.973
O26 O 0.399 0.762 0.234
O27 O 0.748 0.597 0.853
O28 O 0.324 0.586 0.538
O29 O 0.891 0.228 0.344
O30 O 0.243 0.738 0.046
O31 O 0.880 0.897 0.864
O32 O 0.743 0.262 0.954
P1 P 0.947 0.238 0.675
P2 P 0.447 0.762 0.325
P3 P 0.938 0.753 0.066
P4 P 0.438 0.247 0.934
P5 P 0.438 0.747 0.566
P6 P 0.947 0.738 0.825
P7 P 0.447 0.262 0.175
P8 P 0.938 0.253 0.434
Li1 Li 0.946 0.035 0.949
Li2 Li 0.446 0.465 0.449
Li3 Li 0.466 0.631 0.139
Li4 Li 0.466 0.131 0.361
Li5 Li 0.966 0.369 0.861
Li6 Li 0.446 0.965 0.051
Li7 Li 0.946 0.535 0.551
Li8 Li 0.966 0.869 0.639
Cr1 Cr 0.475 0.147 0.553
Cr2 Cr 0.975 0.853 0.447
Cr3 Cr 0.520 0.650 0.751
Cr4 Cr 0.475 0.647 0.947
Cr5 Cr 0.020 0.850 0.251
Cr6 Cr 0.975 0.353 0.053
Cr7 Cr 0.020 0.350 0.249
Cr8 Cr 0.520 0.150 0.749